This record from the Alexandria database describes a relaxed Te2MoSe crystal. The functional is PBE-GGA.

Results
SG: No. 65

Lattice parameters (Å, degrees): 3.1079 3.1079 10.5744 90.00 90.00 112.81
Positions (direct):
Mo (0.5000, 0.5000, 0.2500)
Te (0.0000, 0.0000, 0.4560)
Se (0.5000, 0.5000, 0.7500)
Te (0.0000, 0.0000, 0.0440)

This record from the Alexandria database describes a relaxed TeMoSe crystal. The functional is PBE-GGA.

Results
SG: No. 107

Lattice parameters (Å, degrees): 7.0499 7.0499 7.0499 153.83 153.83 37.34
Positions (direct):
Se (0.3824, 0.3824, 0.0000)
Mo (0.9928, 0.9928, 0.0000)
Te (0.6247, 0.6247, 0.0000)

This record from the Alexandria database describes a relaxed TeMo2Se crystal. The functional is PBE-GGA.

Results
SG: No. 44

Lattice parameters (Å, degrees): 6.1183 6.1183 6.1183 148.80 141.40 50.44
Positions (direct):
Se (0.5354, 0.5354, 0.0000)
Mo (0.7167, 0.2167, 0.5000)
Te (0.2877, 0.7877, 0.5000)
Mo (0.9602, 0.9602, 0.0000)

This record from the Alexandria database describes a relaxed Te2MoSe crystal. The functional is PBE-GGA.

Results
SG: No. 12

Lattice parameters (Å, degrees): 7.1145 7.1145 4.4977 79.18 79.18 26.66
Positions (direct):
Se (0.2500, 0.2500, 0.2500)
Te (0.0856, 0.0856, 0.9253)
Te (0.4144, 0.4144, 0.5747)
Mo (0.7500, 0.7500, 0.7500)

This record from the Alexandria database describes a relaxed Te2MoSe crystal. The functional is PBE-GGA.

Results
SG: No. 160

Lattice parameters (Å, degrees): 10.6846 10.6846 10.6846 17.99 17.99 17.99
Positions (direct):
Te (0.2252, 0.2252, 0.2252)
Se (0.7764, 0.7764, 0.7764)
Te (0.0025, 0.0025, 0.0025)
Mo (0.4959, 0.4959, 0.4959)

This record from the Alexandria database describes a relaxed TeMo2Se crystal. The functional is PBE-GGA.

Results
SG: No. 166

Lattice parameters (Å, degrees): 8.2407 8.2407 8.2407 22.49 22.49 22.49
Positions (direct):
Mo (0.0046, 0.0046, 0.0046)
Te (0.2500, 0.2500, 0.2500)
Se (0.7500, 0.7500, 0.7500)
Mo (0.4954, 0.4954, 0.4954)

This record from the Alexandria database describes a relaxed TeMoSe2 crystal. The functional is PBE-GGA.

Results
SG: No. 166

Lattice parameters (Å, degrees): 10.2468 10.2468 10.2468 18.37 18.37 18.37
Positions (direct):
Te (0.2500, 0.2500, 0.2500)
Se (0.0261, 0.0261, 0.0261)
Mo (0.7500, 0.7500, 0.7500)
Se (0.4739, 0.4739, 0.4739)

This record from the Alexandria database describes a relaxed TeMoSe2 crystal. The functional is PBE-GGA.

Results
SG: No. 160

Lattice parameters (Å, degrees): 9.2565 9.2565 9.2565 21.00 21.00 21.00
Positions (direct):
Se (0.2441, 0.2441, 0.2441)
Te (0.4872, 0.4872, 0.4872)
Se (0.0207, 0.0207, 0.0207)
Mo (0.7480, 0.7480, 0.7480)

Which E_form (uncorrected) belongs to each record? In order, 0.44, -0.18, 0.30, 0.17, -0.12, 0.32, -0.26, 0.03 eV per atom.
Which spin magnetization belongs to each record? In order, 0.000, 0.000, 0.000, 0.000, 0.000, 0.158, 0.000, 0.000 μB/atom.